Entry 1:
Density functional theory data (GGA-PBE) for an optimized crystal structure of TmCdGaHg.

Results
E_form = -125 kJ/mol of formula units

Geometry as CIF:
```
data_TmCdGaHg
_cell_length_a 7.063
_cell_length_b 7.063
_cell_length_c 7.063
_cell_angle_alpha 90.00
_cell_angle_beta 90.00
_cell_angle_gamma 90.00
_space_group_name_H-M_alt 'F -4 3 m'
_space_group_IT_number 216
_space_group_name_Hall 'F -4 2 3'
loop_
_atom_site_label
_atom_site_type_symbol
_atom_site_fract_x
_atom_site_fract_y
_atom_site_fract_z
Tm1 Tm 0.000 0.000 0.000
Cd1 Cd 0.000 0.000 0.500
Ga1 Ga 0.250 0.250 0.250
Hg1 Hg 0.250 0.250 0.750
```

=====

Entry 2:
Density functional theory data (GGA-PBE) for an optimized crystal structure of UCdGaHg.

Results
E_form = 37 kJ/mol of formula units

Geometry as CIF:
```
data_UCdGaHg
_cell_length_a 7.126
_cell_length_b 7.126
_cell_length_c 7.126
_cell_angle_alpha 90.00
_cell_angle_beta 90.00
_cell_angle_gamma 90.00
_space_group_name_H-M_alt 'F -4 3 m'
_space_group_IT_number 216
_space_group_name_Hall 'F -4 2 3'
loop_
_atom_site_label
_atom_site_type_symbol
_atom_site_fract_x
_atom_site_fract_y
_atom_site_fract_z
U1 U 0.000 0.000 0.000
Cd1 Cd 0.000 0.000 0.500
Ga1 Ga 0.250 0.250 0.750
Hg1 Hg 0.250 0.250 0.250
```

=====

Entry 3:
Density functional theory data (GGA-PBE) for an optimized crystal structure of Cd2GaHgW.

Results
excess energy over the best structure of this formula in the dataset = 0.0 meV per atom
E_form = 513 kJ/mol of formula units

Geometry as CIF:
```
data_Cd2GaHgW
_cell_length_a 4.929
_cell_length_b 4.929
_cell_length_c 4.908
_cell_angle_alpha 90.00
_cell_angle_beta 90.00
_cell_angle_gamma 90.00
_space_group_name_H-M_alt 'P 4/m m m'
_space_group_IT_number 123
_space_group_name_Hall '-P 4 2'
loop_
_atom_site_label
_atom_site_type_symbol
_atom_site_fract_x
_atom_site_fract_y
_atom_site_fract_z
Cd1 Cd 0.000 0.500 0.000
Ga1 Ga 0.000 0.000 0.000
Hg1 Hg 0.500 0.500 0.500
W1 W 0.000 0.000 0.500
```

=====

Entry 4:
Density functional theory data (GGA-PBE) for an optimized crystal structure of Cd2GaHgW.

Results
excess energy over the best structure of this formula in the dataset = 326.7 meV per atom
E_form = 671 kJ/mol of formula units

Geometry as CIF:
```
data_Cd2GaHgW
_cell_length_a 5.108
_cell_length_b 5.108
_cell_length_c 5.113
_cell_angle_alpha 90.00
_cell_angle_beta 90.00
_cell_angle_gamma 90.00
_space_group_name_H-M_alt 'P 4/m m m'
_space_group_IT_number 123
_space_group_name_Hall '-P 4 2'
loop_
_atom_site_label
_atom_site_type_symbol
_atom_site_fract_x
_atom_site_fract_y
_atom_site_fract_z
Cd1 Cd 0.000 0.500 0.000
Ga1 Ga 0.000 0.000 0.000
Hg1 Hg 0.000 0.000 0.500
W1 W 0.500 0.500 0.500
```

=====

Entry 5:
Density functional theory data (GGA-PBE) for an optimized crystal structure of Y4Cd2GaHg.

Results
E_form = -348 kJ/mol of formula units

Geometry as CIF:
```
data_Y4Cd2GaHg
_cell_length_a 5.2342
_cell_length_b 5.2342
_cell_length_c 25.6320
_cell_angle_alpha 90.00
_cell_angle_beta 90.00
_cell_angle_gamma 120.00
_space_group_name_H-M_alt 'R -3 m'
_space_group_IT_number 166
_space_group_name_Hall '-R 3 2"'
loop_
_atom_site_label
_atom_site_type_symbol
_atom_site_fract_x
_atom_site_fract_y
_atom_site_fract_z
Y1 Y 0.0000 0.0000 0.1225
Y2 Y 0.0000 0.0000 0.3726
Cd1 Cd 0.0000 0.0000 0.2487
Ga1 Ga 0.0000 0.0000 0.0000
Hg1 Hg 0.0000 0.0000 0.5000
```

=====

Entry 6:
Density functional theory data (GGA-PBE) for an optimized crystal structure of Y4CdGaHg2.

Results
E_form = -376 kJ/mol of formula units

Geometry as CIF:
```
data_Y4CdGaHg2
_cell_length_a 5.2411
_cell_length_b 5.2411
_cell_length_c 25.6286
_cell_angle_alpha 90.00
_cell_angle_beta 90.00
_cell_angle_gamma 120.00
_space_group_name_H-M_alt 'R -3 m'
_space_group_IT_number 166
_space_group_name_Hall '-R 3 2"'
loop_
_atom_site_label
_atom_site_type_symbol
_atom_site_fract_x
_atom_site_fract_y
_atom_site_fract_z
Y1 Y 0.0000 0.0000 0.1203
Y2 Y 0.0000 0.0000 0.3709
Cd1 Cd 0.0000 0.0000 0.5000
Ga1 Ga 0.0000 0.0000 0.0000
Hg1 Hg 0.0000 0.0000 0.2440
```

=====

Entry 7:
Density functional theory data (GGA-PBE) for an optimized crystal structure of YCdGaHg.

Results
E_form = -136 kJ/mol of formula units

Geometry as CIF:
```
data_YCdGaHg
_cell_length_a 7.123
_cell_length_b 7.123
_cell_length_c 7.123
_cell_angle_alpha 90.00
_cell_angle_beta 90.00
_cell_angle_gamma 90.00
_space_group_name_H-M_alt 'F -4 3 m'
_space_group_IT_number 216
_space_group_name_Hall 'F -4 2 3'
loop_
_atom_site_label
_atom_site_type_symbol
_atom_site_fract_x
_atom_site_fract_y
_atom_site_fract_z
Y1 Y 0.000 0.000 0.000
Cd1 Cd 0.000 0.000 0.500
Ga1 Ga 0.250 0.250 0.250
Hg1 Hg 0.250 0.250 0.750
```

=====

Entry 8:
Density functional theory data (GGA-PBE) for an optimized crystal structure of ZnCdGaHg2.

Results
E_form = 103 kJ/mol of formula units

Geometry as CIF:
```
data_ZnCdGaHg2
_cell_length_a 5.263
_cell_length_b 5.263
_cell_length_c 4.930
_cell_angle_alpha 90.00
_cell_angle_beta 90.00
_cell_angle_gamma 90.00
_space_group_name_H-M_alt 'P 4/m m m'
_space_group_IT_number 123
_space_group_name_Hall '-P 4 2'
loop_
_atom_site_label
_atom_site_type_symbol
_atom_site_fract_x
_atom_site_fract_y
_atom_site_fract_z
Zn1 Zn 0.000 0.000 0.000
Cd1 Cd 0.500 0.500 0.500
Ga1 Ga 0.000 0.000 0.500
Hg1 Hg 0.000 0.500 0.000
```

=====

Entry 9:
Density functional theory data (GGA-PBE) for an optimized crystal structure of HoCdGa.

Results
E_form = -64 kJ/mol of formula units

Geometry as CIF:
```
data_HoCdGa
_cell_length_a 6.668
_cell_length_b 6.668
_cell_length_c 6.668
_cell_angle_alpha 90.00
_cell_angle_beta 90.00
_cell_angle_gamma 90.00
_space_group_name_H-M_alt 'F -4 3 m'
_space_group_IT_number 216
_space_group_name_Hall 'F -4 2 3'
loop_
_atom_site_label
_atom_site_type_symbol
_atom_site_fract_x
_atom_site_fract_y
_atom_site_fract_z
Ho1 Ho 0.000 0.000 0.000
Cd1 Cd 0.250 0.250 0.250
Ga1 Ga 0.000 0.000 0.500
```

=====

Entry 10:
Density functional theory data (GGA-PBE) for an optimized crystal structure of HoCdGa.

Results
E_form = -117 kJ/mol of formula units

Geometry as CIF:
```
data_HoCdGa
_cell_length_a 12.380
_cell_length_b 4.163
_cell_length_c 5.423
_cell_angle_alpha 90.00
_cell_angle_beta 100.19
_cell_angle_gamma 90.00
_space_group_name_H-M_alt 'C 1 2/m 1'
_space_group_IT_number 12
loop_
_space_group_symop_operation_xyz
'x,y,z'
'-x,-y,-z'
'-x,y,-z'
'x,-y,z'
'x+1/2,y+1/2,z'
'-x+1/2,-y+1/2,-z'
'-x+1/2,y+1/2,-z'
'x+1/2,-y+1/2,z'
loop_
_atom_site_label
_atom_site_type_symbol
_atom_site_fract_x
_atom_site_fract_y
_atom_site_fract_z
Ho1 Ho 0.125 0.000 0.313
Cd1 Cd 0.072 0.500 0.786
Ga1 Ga 0.229 0.000 0.836
```

=====

Entry 11:
Density functional theory data (GGA-PBE) for an optimized crystal structure of Ho6Cd5Ga.

Results
E_form = -419 kJ/mol of formula units

Geometry as CIF:
```
data_Ho6Cd5Ga
_cell_length_a 5.219
_cell_length_b 15.700
_cell_length_c 7.407
_cell_angle_alpha 90.00
_cell_angle_beta 90.00
_cell_angle_gamma 90.00
_space_group_name_H-M_alt 'C m m m'
_space_group_IT_number 65
_space_group_name_Hall '-C 2 2'
loop_
_atom_site_label
_atom_site_type_symbol
_atom_site_fract_x
_atom_site_fract_y
_atom_site_fract_z
Ho1 Ho 0.000 0.000 0.240
Ho2 Ho 0.000 0.338 0.246
Cd1 Cd 0.000 0.168 0.500
Cd2 Cd 0.000 0.173 0.000
Cd3 Cd 0.000 0.500 0.500
Ga1 Ga 0.000 0.500 0.000
```

=====

Entry 12:
Density functional theory data (GGA-PBE) for an optimized crystal structure of Ho3CdGa.

Results
excess energy over the best structure of this formula in the dataset = 0.0 meV per atom
E_form = -169 kJ/mol of formula units

Geometry as CIF:
```
data_Ho3CdGa
_cell_length_a 4.948
_cell_length_b 19.937
_cell_length_c 10.371
_cell_angle_alpha 90.00
_cell_angle_beta 90.00
_cell_angle_gamma 90.00
_space_group_name_H-M_alt 'I m m a'
_space_group_IT_number 74
_space_group_name_Hall '-I 2b 2'
loop_
_atom_site_label
_atom_site_type_symbol
_atom_site_fract_x
_atom_site_fract_y
_atom_site_fract_z
Ho1 Ho 0.000 0.032 0.138
Ho2 Ho 0.000 0.142 0.866
Ho3 Ho 0.000 0.155 0.372
Cd1 Cd 0.000 0.250 0.101
Cd2 Cd 0.000 0.250 0.628
Ga1 Ga 0.000 0.055 0.588
```

=====

Entry 13:
Density functional theory data (GGA-PBE) for an optimized crystal structure of HoCd2Ga.

Results
excess energy over the best structure of this formula in the dataset = 506.2 meV per atom
E_form = 67 kJ/mol of formula units

Geometry as CIF:
```
data_HoCd2Ga
_cell_length_a 3.2417
_cell_length_b 3.2417
_cell_length_c 32.8896
_cell_angle_alpha 90.00
_cell_angle_beta 90.00
_cell_angle_gamma 120.00
_space_group_name_H-M_alt 'R -3 m'
_space_group_IT_number 166
_space_group_name_Hall '-R 3 2"'
loop_
_atom_site_label
_atom_site_type_symbol
_atom_site_fract_x
_atom_site_fract_y
_atom_site_fract_z
Ho1 Ho 0.0000 0.0000 0.0000
Cd1 Cd 0.0000 0.0000 0.0946
Ga1 Ga 0.0000 0.0000 0.5000
```

=====

Entry 14:
Density functional theory data (GGA-PBE) for an optimized crystal structure of HoCdGa2.

Results
excess energy over the best structure of this formula in the dataset = 0.0 meV per atom
E_form = -162 kJ/mol of formula units

Geometry as CIF:
```
data_HoCdGa2
_cell_length_a 4.414
_cell_length_b 4.414
_cell_length_c 4.237
_cell_angle_alpha 90.00
_cell_angle_beta 90.00
_cell_angle_gamma 90.00
_space_group_name_H-M_alt 'P 4/m m m'
_space_group_IT_number 123
_space_group_name_Hall '-P 4 2'
loop_
_atom_site_label
_atom_site_type_symbol
_atom_site_fract_x
_atom_site_fract_y
_atom_site_fract_z
Ho1 Ho 0.000 0.000 0.000
Cd1 Cd 0.500 0.500 0.000
Ga1 Ga 0.000 0.500 0.500
```

=====

Entry 15:
Density functional theory data (GGA-PBE) for an optimized crystal structure of Ho2CdGa.

Results
E_form = -176 kJ/mol of formula units

Geometry as CIF:
```
data_Ho2CdGa
_cell_length_a 3.611
_cell_length_b 3.611
_cell_length_c 7.399
_cell_angle_alpha 90.00
_cell_angle_beta 90.00
_cell_angle_gamma 90.00
_space_group_name_H-M_alt 'P 4/m m m'
_space_group_IT_number 123
_space_group_name_Hall '-P 4 2'
loop_
_atom_site_label
_atom_site_type_symbol
_atom_site_fract_x
_atom_site_fract_y
_atom_site_fract_z
Ho1 Ho 0.000 0.000 0.235
Cd1 Cd 0.500 0.500 0.500
Ga1 Ga 0.500 0.500 0.000
```

=====

Entry 16:
Density functional theory data (GGA-PBE) for an optimized crystal structure of HoCdGa2.

Results
excess energy over the best structure of this formula in the dataset = 147.3 meV per atom
E_form = -106 kJ/mol of formula units

Geometry as CIF:
```
data_HoCdGa2
_cell_length_a 6.974
_cell_length_b 6.974
_cell_length_c 6.974
_cell_angle_alpha 90.00
_cell_angle_beta 90.00
_cell_angle_gamma 90.00
_space_group_name_H-M_alt 'F m -3 m'
_space_group_IT_number 225
_space_group_name_Hall '-F 4 2 3'
loop_
_atom_site_label
_atom_site_type_symbol
_atom_site_fract_x
_atom_site_fract_y
_atom_site_fract_z
Ho1 Ho 0.000 0.000 0.000
Cd1 Cd 0.000 0.000 0.500
Ga1 Ga 0.250 0.250 0.250
```

=====

Entry 17:
Density functional theory data (GGA-PBE) for an optimized crystal structure of Ho2CdGa.

Results
E_form = 31 kJ/mol of formula units

Geometry as CIF:
```
data_Ho2CdGa
_cell_length_a 3.4243
_cell_length_b 3.4243
_cell_length_c 33.2135
_cell_angle_alpha 90.00
_cell_angle_beta 90.00
_cell_angle_gamma 120.00
_space_group_name_H-M_alt 'R -3 m'
_space_group_IT_number 166
_space_group_name_Hall '-R 3 2"'
loop_
_atom_site_label
_atom_site_type_symbol
_atom_site_fract_x
_atom_site_fract_y
_atom_site_fract_z
Ho1 Ho 0.0000 0.0000 0.0899
Cd1 Cd 0.0000 0.0000 0.5000
Ga1 Ga 0.0000 0.0000 0.0000
```

=====

Entry 18:
Density functional theory data (GGA-PBE) for an optimized crystal structure of Ho4CdGa3.

Results
E_form = -395 kJ/mol of formula units

Geometry as CIF:
```
data_Ho4CdGa3
_cell_length_a 5.091
_cell_length_b 5.091
_cell_length_c 7.192
_cell_angle_alpha 90.00
_cell_angle_beta 90.00
_cell_angle_gamma 90.00
_space_group_name_H-M_alt 'P 4/m m m'
_space_group_IT_number 123
_space_group_name_Hall '-P 4 2'
loop_
_atom_site_label
_atom_site_type_symbol
_atom_site_fract_x
_atom_site_fract_y
_atom_site_fract_z
Ho1 Ho 0.000 0.500 0.243
Cd1 Cd 0.000 0.000 0.500
Ga1 Ga 0.000 0.000 0.000
Ga2 Ga 0.500 0.500 0.000
Ga3 Ga 0.500 0.500 0.500
```

=====

Entry 19:
Density functional theory data (GGA-PBE) for an optimized crystal structure of Ho3CdGa12.

Results
E_form = -559 kJ/mol of formula units

Geometry as CIF:
```
data_Ho3CdGa12
_cell_length_a 4.277
_cell_length_b 4.277
_cell_length_c 17.038
_cell_angle_alpha 90.00
_cell_angle_beta 90.00
_cell_angle_gamma 90.00
_space_group_name_H-M_alt 'P 4/m m m'
_space_group_IT_number 123
_space_group_name_Hall '-P 4 2'
loop_
_atom_site_label
_atom_site_type_symbol
_atom_site_fract_x
_atom_site_fract_y
_atom_site_fract_z
Ho1 Ho 0.000 0.000 0.000
Ho2 Ho 0.000 0.000 0.250
Cd1 Cd 0.000 0.000 0.500
Ga1 Ga 0.000 0.500 0.126
Ga2 Ga 0.000 0.500 0.379
Ga3 Ga 0.500 0.500 0.000
Ga4 Ga 0.500 0.500 0.243
Ga5 Ga 0.500 0.500 0.500
```

=====

Entry 20:
Density functional theory data (GGA-PBE) for an optimized crystal structure of Ho2Cd3Ga.

Results
E_form = -214 kJ/mol of formula units

Geometry as CIF:
```
data_Ho2Cd3Ga
_cell_length_a 3.492
_cell_length_b 4.818
_cell_length_c 8.328
_cell_angle_alpha 90.00
_cell_angle_beta 90.00
_cell_angle_gamma 90.00
_space_group_name_H-M_alt 'P m m 2'
_space_group_IT_number 25
loop_
_space_group_symop_operation_xyz
'x,y,z'
'-x,-y,z'
'-x,y,z'
'x,-y,z'
loop_
_atom_site_label
_atom_site_type_symbol
_atom_site_fract_x
_atom_site_fract_y
_atom_site_fract_z
Ho1 Ho 0.000 0.000 0.000
Ho2 Ho 0.000 0.500 0.474
Cd1 Cd 0.500 0.000 0.649
Cd2 Cd 0.500 0.500 0.154
Cd3 Cd 0.500 0.500 0.817
Ga1 Ga 0.500 0.000 0.321
```

=====

So what do the calculations give for N(E_F)? Going down the list: 0.116, 1.732, 0.530, 0.824, 0.997, 1.134, 0.064, 0.514, 0.316, 0.313, 0.989, 0.856, 0.666, 0.528, 0.587, 0.531, 0.973, 0.640, 0.314, 0.701 states/eV per atom.
So what do the calculations give for V? Going down the list: 22.02, 22.62, 23.84, 26.69, 25.34, 25.40, 22.59, 27.32, 24.70, 22.92, 25.29, 25.58, 24.94, 20.64, 24.12, 21.20, 28.11, 23.30, 19.48, 23.35 A^3/atom.